Computed, not measured: SmScFe after structural relaxation at the PBE level of DFT.

Calculated values
The energy above the most stable polymorph in this dataset comes out at 0.13 eV/f.u. The calculation puts the total magnetic moment at 0.00 μB/cell.

Lattice parameters (Å, degrees): 6.6234 6.6234 6.6234 151.62 151.62 40.56
Positions (direct):
Sm1 0.0000 0.0000 0.0000
Sc1 0.2543 0.2543 0.0000
Fe1 0.6418 0.6418 0.0000